Below is a PBEsol-optimized structure of Sr2TlSi, with properties calculated at the SCAN level.

Structure (POSCAR):
```
Sr2TlSi
1.0
3.9155 0.0000 0.0000
0.0000 5.4582 0.0000
0.0000 0.0000 5.4582
Si Sr Tl
1 2 1
Direct
0.5000 0.5000 0.5000
0.0000 0.0000 0.5000
0.0000 0.5000 0.0000
0.5000 0.0000 0.0000
```

Calculated values
Volume, Å³ per cell: 116.65
Final energy, Ha/atom: -1.1796
Uncorrected formation energy, eV per formula unit: -1.5
Total moment, μB per cell: 0.0